# Al4Cr2O9

A relaxed Al4Cr2O9 crystal (GGA+U, Alexandria via LeMat-Bulk).

a = 4.9035 Å, b = 4.9033 Å, c = 13.3387 Å
α = 90.00°, β = 90.00°, γ = 60.00°
Closest atoms and distances in Å follow each position.
Atoms (fractional coordinates):
Al: 0.3334 0.3333 0.9812  6 O 1.88-1.99
Al: 0.3332 0.3334 0.4812  6 O 1.88-1.99
Al: 0.6666 0.6667 0.0188  6 O 1.88-1.99
Al: 0.3329 0.3334 0.1828  6 O 1.90-1.99
Al: 0.6668 0.6666 0.5188  6 O 1.88-1.99
Al: 0.6662 0.6668 0.3172  6 O 1.90-1.99
Al: 0.3338 0.3332 0.6828  6 O 1.90-1.99
Al: 0.6671 0.6666 0.8172  6 O 1.90-1.99
Cr: 0.9997 0.0001 0.3513  6 O 1.99-2.06
Cr: 0.9997 0.0001 0.1487  6 O 1.99-2.06
Cr: 0.0003 0.9999 0.6487  6 O 1.99-2.06
Cr: 0.0003 0.9999 0.8513  6 O 1.99-2.06
O: 0.0004 0.3182 0.7500  2 Al 1.90, 2 Cr 2.06
O: 0.3187 0.6816 0.7500  2 Al 1.90, 2 Cr 2.06
O: 0.6821 0.9999 0.7500  2 Al 1.90, 2 Cr 2.06
O: 0.9996 0.6818 0.2500  2 Al 1.90, 2 Cr 2.06
O: 0.6813 0.3184 0.2500  2 Al 1.90, 2 Cr 2.06
O: 0.3179 0.0001 0.2500  2 Al 1.90, 2 Cr 2.06
O: 0.6526 0.9720 0.4181  3 Al 1.88-1.99, 1 Cr 1.99
O: 0.9717 0.3752 0.4182  3 Al 1.88-1.99, 1 Cr 1.99
O: 0.3749 0.6530 0.4182  3 Al 1.88-1.99, 1 Cr 1.99
O: 0.6246 0.0281 0.0819  3 Al 1.88-1.99, 1 Cr 1.99
O: 0.3469 0.6249 0.0818  3 Al 1.88-1.99, 1 Cr 1.99
O: 0.0279 0.3471 0.0818  3 Al 1.88-1.99, 1 Cr 1.99
O: 0.3474 0.0280 0.5819  3 Al 1.88-1.99, 1 Cr 1.99
O: 0.0283 0.6248 0.5818  3 Al 1.88-1.99, 1 Cr 1.99
O: 0.6251 0.3470 0.5818  3 Al 1.88-1.99, 1 Cr 1.99
O: 0.3754 0.9719 0.9182  3 Al 1.88-1.99, 1 Cr 1.99
O: 0.6531 0.3751 0.9182  3 Al 1.88-1.99, 1 Cr 1.99
O: 0.9721 0.6529 0.9182  3 Al 1.88-1.99, 1 Cr 1.99

Calculated values
* total energy: -7.62 eV per atom
* magnetization: 6.00 μB/f.u.
* space-group type: P-3c1